This record from the Alexandria database describes a geometry-optimized Pm2TiMoO6 structure. The functional is GGA+U.

a = 5.1474 Å, b = 5.3372 Å, c = 5.3372 Å
α = 90.00°, β = 90.00°, γ = 90.00°
Closest atoms and distances in Å follow each position.
Atoms (fractional coordinates):
Pm: 0.0040 0.0000 0.5000  4 O 2.35
Pm: 0.0040 0.5000 0.0000  4 O 2.35
O: 0.7324 0.7649 0.7649  1 Ti 1.92
O: 0.1301 0.5000 0.5000  1 Mo 2.23
O: 0.7324 0.7649 0.2351  1 Ti 1.92
O: 0.2273 0.0000 0.0000  1 Ti 1.85
O: 0.7324 0.2351 0.7649  1 Ti 1.92
O: 0.7324 0.2351 0.2351  1 Ti 1.92
Ti: 0.5876 0.0000 0.0000  5 O 1.85-1.92
Mo: 0.5640 0.5000 0.5000  5 O 2.18-2.23

Computed properties:
DOS at the Fermi energy   0.44 states/eV/cell
DFT total energy   -8.035 eV/atom
Symmetry   P4mm (99)